# Ho8Cu2Ir | the Alexandria database | GGA-PBE | optimized geometry
data_Ho8Cu2Ir
_space_group_name_H-M_alt 'C 1 2/m 1'
_space_group_IT_number 12
_cell_length_a 17.189
_cell_length_b 5.059
_cell_length_c 6.637
_cell_angle_alpha 90.00
_cell_angle_beta 106.25
_cell_angle_gamma 90.00
loop_
_space_group_symop_operation_xyz
'x,y,z'
'-x,-y,-z'
'-x,y,-z'
'x,-y,z'
'x+1/2,y+1/2,z'
'-x+1/2,-y+1/2,-z'
'-x+1/2,y+1/2,-z'
'x+1/2,-y+1/2,z'
loop_
_atom_site_label
_atom_site_type_symbol
_atom_site_fract_x
_atom_site_fract_y
_atom_site_fract_z
Ho1 Ho 0.033 0.000 0.292
Ho2 Ho 0.090 0.500 0.941
Ho3 Ho 0.166 0.500 0.478
Ho4 Ho 0.201 0.000 0.826
Cu1 Cu 0.185 0.000 0.225
Ir1 Ir 0.000 0.500 0.500
# **Total energy**: -5.16 eV per atom
# **E_form**: -280 meV per atom
# **DOS(E_F)**: 8.9 states/eV/f.u.